A relaxed ScPdF3 crystal, computed with PBE.

The value obtained for the volume is 80.5 Å³/f.u. The space group is Pm-3m. Its energy above the most stable polymorph in this dataset is 1.285 eV per atom.

extended XYZ file:
```
5
Lattice="4.318 0.000 0.000 0.000 4.318 0.000 0.000 0.000 4.318" Properties=species:S:1:pos:R:3 pbc="T T T"
Sc 0.000 0.000 0.000
Pd 2.159 2.159 2.159
F 0.000 2.159 2.159
F 2.159 0.000 2.159
F 2.159 2.159 0.000
```